(1)
# NbFeCuF2 | Alexandria via LeMat-Bulk | GGA-PBEsol | optimized geometry
data_NbFeCuF2
_chemical_formula_sum 'Nb1 Fe1 Cu1 F2'
_cell_length_a 3.7439
_cell_length_b 3.7439
_cell_length_c 5.1009
_cell_angle_alpha 90.00
_cell_angle_beta 90.00
_cell_angle_gamma 90.00
_space_group_name_H-M_alt 'P 4/m m m'
_space_group_IT_number 123
_space_group_name_Hall '-P 4 2'
loop_
_atom_site_label
_atom_site_type_symbol
_atom_site_fract_x
_atom_site_fract_y
_atom_site_fract_z
Nb1 Nb 0.0000 0.0000 0.0000
Fe1 Fe 0.0000 0.0000 0.5000
Cu1 Cu 0.5000 0.5000 0.0000
F1 F 0.0000 0.5000 0.5000
# volume: 71.5 Å³/cell
# density of states at the Fermi level: 4.3 states/eV/f.u.
# formation energy (no corrections): -0.225 eV/atom

(2)
# MoP2OsCl | Alexandria via LeMat-Bulk | GGA-PBEsol | optimized geometry
data_MoP2OsCl
_chemical_formula_sum 'Mo1 P2 Os1 Cl1'
_cell_length_a 4.6585
_cell_length_b 4.6585
_cell_length_c 4.4652
_cell_angle_alpha 90.00
_cell_angle_beta 90.00
_cell_angle_gamma 90.00
_space_group_name_H-M_alt 'P 4/m m m'
_space_group_IT_number 123
_space_group_name_Hall '-P 4 2'
loop_
_atom_site_label
_atom_site_type_symbol
_atom_site_fract_x
_atom_site_fract_y
_atom_site_fract_z
Mo1 Mo 0.0000 0.0000 0.0000
P1 P 0.0000 0.5000 0.0000
Os1 Os 0.5000 0.5000 0.5000
Cl1 Cl 0.0000 0.0000 0.5000
# volume: 96.9 Å³/cell
# density of states at the Fermi level: 6.0 states/eV/f.u.
# formation energy (no corrections): 1.408 eV/atom

(3)
# RbHfNbFe2 | Alexandria via LeMat-Bulk | GGA-PBEsol | optimized geometry
data_RbHfNbFe2
_chemical_formula_sum 'Rb1 Hf1 Nb1 Fe2'
_cell_length_a 4.8965
_cell_length_b 4.8965
_cell_length_c 4.9742
_cell_angle_alpha 90.00
_cell_angle_beta 90.00
_cell_angle_gamma 90.00
_space_group_name_H-M_alt 'P 4/m m m'
_space_group_IT_number 123
_space_group_name_Hall '-P 4 2'
loop_
_atom_site_label
_atom_site_type_symbol
_atom_site_fract_x
_atom_site_fract_y
_atom_site_fract_z
Rb1 Rb 0.0000 0.0000 0.0000
Hf1 Hf 0.5000 0.5000 0.5000
Nb1 Nb 0.5000 0.5000 0.0000
Fe1 Fe 0.0000 0.5000 0.5000
# volume: 119.3 Å³/cell
# density of states at the Fermi level: 6.6 states/eV/f.u.
# energy: -6.344 eV/atom